1.
NpInRh2: optimized geometry, PBEsol.

For the formation energy, the calculation gives -0.2498 eV/atom.

The structure belongs to space group Fm-3m (No. 225); the cell edges are 6.561, 6.561 and 6.561 Å and the angles 90.00°, 90.00° and 90.00°. Symmetry generates all atoms from Np at (0.000, 0.000, 0.000), In at (0.000, 0.000, 0.500) and Rh at (0.250, 0.250, 0.250).

2.
SrNb2CuO6F: optimized geometry, PBEsol.

The calculation puts the formation energy from raw total energies at -2.472 eV per atom.

The structure belongs to space group I-4m2 (No. 119); the cell edges are 3.827, 3.827 and 19.650 Å and the angles 90.00°, 90.00° and 90.00°. Symmetry generates all atoms from Sr at (0.000, 0.000, 0.000), Nb at (0.000, 0.000, 0.376), Cu at (0.000, 0.500, 0.750), O at (0.000, 0.000, 0.283), O at (0.000, 0.500, 0.097), O at (0.000, 0.500, 0.593) and F at (0.000, 0.000, 0.500).

3.
TaRe2Pt: optimized geometry, PBEsol.

For the formation energy, the calculation gives -0.2792 eV/atom. The calculation puts the offset from the most stable computed form at 0 meV per atom.

The structure belongs to space group P4/mmm (No. 123); the cell edges are 3.898, 3.898 and 3.995 Å and the angles 90.00°, 90.00° and 90.00°. Symmetry generates all atoms from Ta at (0.000, 0.000, 0.000), Re at (0.000, 0.500, 0.500) and Pt at (0.500, 0.500, 0.000).

Taking the records one at a time from the top gives DFT total energy values of -8.53; -8.04; -11.82 eV/atom.